Entry from Alexandria: a relaxed TbPmPr2Y5 crystal (PBE).

Cell lengths 10.004, 10.004, 10.004 Å; angles 128.09, 128.09, 76.48 degrees
Atoms (fractional coordinates):
Tb: 0.250 0.750 0.500
Tb: 0.750 0.250 0.500
Pm: 0.250 0.250 0.000
Pm: 0.750 0.750 0.000
Pr: 0.118 0.618 0.735
Pr: 0.382 0.118 0.500
Pr: 0.618 0.882 0.500
Pr: 0.882 0.382 0.265
Y: 0.000 0.000 0.000
Y: 0.071 0.151 0.500
Y: 0.151 0.651 0.080
Y: 0.349 0.429 0.500
Y: 0.429 0.929 0.080
Y: 0.500 0.500 0.000
Y: 0.571 0.071 0.920
Y: 0.651 0.571 0.500
Y: 0.849 0.349 0.920
Y: 0.929 0.849 0.500

As for the space-group type: I4/mcm (140). Its density is 5.68 g/cm3. As for the crystal system: tetragonal. Its total energy is -0.20026 hartree per atom. The calculation puts the density of states at the Fermi level at 21.14 states/eV/cell.